Compound: PmCoRhO6
Source: Alexandria via LeMat-Bulk
Functional: PBE+U
Structure: relaxed

Geometry as POSCAR:
```
PmCoRhO6
1.0
5.031 0.000 0.000
0.000 5.070 0.000
0.000 -2.535 4.391
Pm Co Rh O
1 1 1 6
Direct
0.000 0.333 0.667
0.500 0.000 0.000
0.500 0.667 0.333
0.711 0.709 0.679
0.711 0.321 0.031
0.711 0.969 0.291
0.289 0.321 0.291
0.289 0.709 0.031
0.289 0.969 0.679
```

Values from the calculation:
DOS at the Fermi energy ... 0.49 states/eV per atom
Magnetization ... 0.323 μB per atom
E_tot ... -59.62 eV/cell
Space group ... P312 (149)